K4NdTa3O12: relaxed, PBE-GGA.

Calculated values
Its magnetization is 0.10 μB per atom. The value obtained for the total energy is -7.637 eV/atom.

Unit cell a=7.2647 b=7.2647 c=7.2647 alpha=109.47 beta=109.47 gamma=109.47
Closest atoms and distances in Å follow each position.
Atoms (fractional coordinates):
K 0.0000 0.0000 0.5000  12 O 2.97
K 0.0000 0.5000 0.0000  12 O 2.97
K 0.5000 0.0000 0.0000  12 O 2.97
K 0.5000 0.5000 0.5000  12 O 2.97
Nd 0.0000 0.0000 0.0000  6 O 2.28
Ta 0.0000 0.5000 0.5000  6 O 1.91-2.10
Ta 0.5000 0.0000 0.5000  6 O 1.91-2.10
Ta 0.5000 0.5000 0.0000  6 O 1.91-2.10
O 0.0000 0.2723 0.2723  1 Ta 1.91
O 0.0000 0.7277 0.7277  1 Ta 1.91
O 0.2500 0.5000 0.7500  2 Ta 2.10
O 0.2500 0.7500 0.5000  2 Ta 2.10
O 0.2723 0.0000 0.2723  1 Ta 1.91
O 0.2723 0.2723 0.0000  1 Ta 1.91
O 0.5000 0.2500 0.7500  2 Ta 2.10
O 0.5000 0.7500 0.2500  2 Ta 2.10
O 0.7277 0.0000 0.7277  1 Ta 1.91
O 0.7277 0.7277 0.0000  1 Ta 1.91
O 0.7500 0.2500 0.5000  2 Ta 2.10
O 0.7500 0.5000 0.2500  2 Ta 2.10